# MgOs3Cl, single point on PBEsol structure, DFT meta-GGA SCAN
data_MgOs3Cl
_chemical_formula_sum 'Mg1 Os3 Cl1'
_cell_length_a 4.5611
_cell_length_b 4.5611
_cell_length_c 4.5611
_cell_angle_alpha 90.00
_cell_angle_beta 90.00
_cell_angle_gamma 90.00
_space_group_name_H-M_alt 'P m -3 m'
_space_group_IT_number 221
_space_group_name_Hall '-P 4 2 3'
loop_
_atom_site_label
_atom_site_type_symbol
_atom_site_fract_x
_atom_site_fract_y
_atom_site_fract_z
Mg1 Mg 0.0000 0.0000 0.0000
Os1 Os 0.0000 0.0000 0.5000
Cl1 Cl 0.5000 0.5000 0.5000
# - volume (Å³ per cell) = 94.9
# - raw formation energy (eV per atom) = 2.91


# MgOs2Cl, single point on PBEsol structure, DFT meta-GGA SCAN
data_MgOs2Cl
_chemical_formula_sum 'Mg1 Os2 Cl1'
_cell_length_a 2.8881
_cell_length_b 2.8881
_cell_length_c 7.4824
_cell_angle_alpha 90.00
_cell_angle_beta 90.00
_cell_angle_gamma 90.00
_space_group_name_H-M_alt 'P 4 m m'
_space_group_IT_number 99
loop_
_space_group_symop_operation_xyz
'x,y,z'
'-y,x,z'
'-x,-y,z'
'y,-x,z'
'-x,y,z'
'y,x,z'
'x,-y,z'
'-y,-x,z'
loop_
_atom_site_label
_atom_site_type_symbol
_atom_site_fract_x
_atom_site_fract_y
_atom_site_fract_z
Mg1 Mg 0.0000 0.0000 0.0000
Os1 Os 0.0000 0.0000 0.4701
Os2 Os 0.5000 0.5000 0.2618
Cl1 Cl 0.5000 0.5000 0.7439
# - volume (Å³ per cell) = 62.4
# - energy above the lowest structure with this stoichiometry (kJ/mol of atoms) = 0.0
# - raw formation energy (eV per atom) = 0.13


# MgOs2Cl, single point on PBEsol structure, DFT meta-GGA SCAN
data_MgOs2Cl
_chemical_formula_sum 'Mg2 Os4 Cl2'
_cell_length_a 2.7758
_cell_length_b 4.8971
_cell_length_c 8.8907
_cell_angle_alpha 90.00
_cell_angle_beta 90.00
_cell_angle_gamma 90.00
_space_group_name_H-M_alt 'C m m m'
_space_group_IT_number 65
_space_group_name_Hall '-C 2 2'
loop_
_atom_site_label
_atom_site_type_symbol
_atom_site_fract_x
_atom_site_fract_y
_atom_site_fract_z
Mg1 Mg 0.0000 0.0000 0.0000
Os1 Os 0.0000 0.5000 0.2579
Cl1 Cl 0.0000 0.0000 0.5000
# - volume (Å³ per cell) = 120.9
# - energy above the lowest structure with this stoichiometry (kJ/mol of atoms) = 71.5
# - raw formation energy (eV per atom) = 0.87


# MgOsCl, single point on PBEsol structure, DFT meta-GGA SCAN
data_MgOsCl
_chemical_formula_sum 'Mg1 Os1 Cl1'
_cell_length_a 2.8977
_cell_length_b 2.8977
_cell_length_c 7.1425
_cell_angle_alpha 90.00
_cell_angle_beta 90.00
_cell_angle_gamma 120.00
_space_group_name_H-M_alt 'P 3 m 1'
_space_group_IT_number 156
loop_
_space_group_symop_operation_xyz
'x,y,z'
'-y,x-y,z'
'-x+y,-x,z'
'-y,-x,z'
'-x+y,y,z'
'x,x-y,z'
loop_
_atom_site_label
_atom_site_type_symbol
_atom_site_fract_x
_atom_site_fract_y
_atom_site_fract_z
Mg1 Mg 0.0000 0.0000 0.0000
Os1 Os 0.6667 0.3333 0.6959
Cl1 Cl 0.3333 0.6667 0.2357
# - volume (Å³ per cell) = 51.9
# - energy above the lowest structure with this stoichiometry (kJ/mol of atoms) = 0.0
# - raw formation energy (eV per atom) = 0.11


# MgOs2Cl, single point on PBEsol structure, DFT meta-GGA SCAN
data_MgOs2Cl
_chemical_formula_sum 'Mg2 Os4 Cl2'
_cell_length_a 4.9137
_cell_length_b 9.6821
_cell_length_c 2.7379
_cell_angle_alpha 90.00
_cell_angle_beta 90.00
_cell_angle_gamma 90.00
_space_group_name_H-M_alt 'C m m m'
_space_group_IT_number 65
_space_group_name_Hall '-C 2 2'
loop_
_atom_site_label
_atom_site_type_symbol
_atom_site_fract_x
_atom_site_fract_y
_atom_site_fract_z
Mg1 Mg 0.0000 0.0000 0.0000
Os1 Os 0.2500 0.2500 0.5000
Cl1 Cl 0.0000 0.5000 0.0000
# - volume (Å³ per cell) = 130.3
# - energy above the lowest structure with this stoichiometry (kJ/mol of atoms) = 86.1
# - raw formation energy (eV per atom) = 1.02


# MgOs2Cl, single point on PBEsol structure, DFT meta-GGA SCAN
data_MgOs2Cl
_chemical_formula_sum 'Mg4 Os8 Cl4'
_cell_length_a 6.1387
_cell_length_b 6.1387
_cell_length_c 6.1387
_cell_angle_alpha 90.00
_cell_angle_beta 90.00
_cell_angle_gamma 90.00
_space_group_name_H-M_alt 'F m -3 m'
_space_group_IT_number 225
_space_group_name_Hall '-F 4 2 3'
loop_
_atom_site_label
_atom_site_type_symbol
_atom_site_fract_x
_atom_site_fract_y
_atom_site_fract_z
Mg1 Mg 0.0000 0.0000 0.0000
Os1 Os 0.2500 0.2500 0.2500
Cl1 Cl 0.0000 0.0000 0.5000
# - volume (Å³ per cell) = 231.3
# - energy above the lowest structure with this stoichiometry (kJ/mol of atoms) = 124.6
# - raw formation energy (eV per atom) = 1.42


| no. | raw total energy (eV per atom) | total magnetization (μB per formula unit) |
| --- | --- | --- |
| 1 | -42.80 | 3.7 |
| 2 | -39.05 | 0.0 |
| 3 | -38.31 | 0.0 |
| 4 | -28.17 | 0.7 |
| 5 | -38.16 | 0.0 |
| 6 | -37.76 | 0.0 |